[1]
! PBE-GGA DyEr2Al3Cu3, relaxed; values from VASP
&SYSTEM
  ibrav = 0, nat = 9, ntyp = 4
/
ATOMIC_SPECIES
Er 167.26 Er.upf
Cu 63.55 Cu.upf
Al 26.98 Al.upf
Dy 162.50 Dy.upf
ATOMIC_POSITIONS crystal
Er 0.0000 0.0004 0.5858
Er 0.0000 0.5858 0.0004
Cu 0.0000 0.9983 0.9983
Cu 0.5000 0.6686 0.3325
Cu 0.5000 0.3325 0.6686
Al 0.5000 0.2373 0.9995
Al 0.5000 0.9995 0.2373
Al 0.5000 0.7624 0.7624
Dy 0.0000 0.4152 0.4152
CELL_PARAMETERS angstrom
3.9958 0.0000 0.0000
0.0000 6.0456 3.4927
0.0000 -6.0456 3.4927
! space group	Amm2

=====

[2]
! PBE-GGA Dy2ErAl3Cu3, relaxed; values from VASP
&SYSTEM
  ibrav = 0, nat = 9, ntyp = 4
/
ATOMIC_SPECIES
Dy 162.50 Dy.upf
Cu 63.55 Cu.upf
Al 26.98 Al.upf
Er 167.26 Er.upf
ATOMIC_POSITIONS crystal
Dy 0.0000 0.4151 0.0005
Dy 0.0000 0.0005 0.4151
Cu 0.5000 0.6657 0.3356
Cu 0.0000 0.9985 0.9985
Cu 0.5000 0.3356 0.6657
Al 0.5000 0.2371 0.2371
Al 0.5000 0.9993 0.7627
Al 0.5000 0.7627 0.9993
Er 0.0000 0.5855 0.5855
CELL_PARAMETERS angstrom
4.0015 0.0000 0.0000
0.0000 6.0615 3.4985
0.0000 -6.0615 3.4985
! space group	Amm2

=====

[3]
! PBE-GGA DyEr2Al3FeCu2, relaxed; values from VASP
&SYSTEM
  ibrav = 0, nat = 9, ntyp = 5
/
ATOMIC_SPECIES
Al 26.98 Al.upf
Er 167.26 Er.upf
Fe 55.84 Fe.upf
Dy 162.50 Dy.upf
Cu 63.55 Cu.upf
ATOMIC_POSITIONS crystal
Al 0.5000 0.7714 0.7714
Al 0.5000 0.2283 0.9994
Al 0.5000 0.9994 0.2283
Er 0.0000 0.0003 0.5904
Er 0.0000 0.5904 0.0003
Fe 0.0000 0.9978 0.9978
Dy 0.0000 0.4113 0.4113
Cu 0.5000 0.6685 0.3326
Cu 0.5000 0.3326 0.6685
CELL_PARAMETERS angstrom
4.0770 0.0000 0.0000
0.0000 5.9506 3.4382
0.0000 -5.9506 3.4382
! space group	Amm2

=====

[4]
! PBE-GGA Dy2ErAl3CuGe2, relaxed; values from VASP
&SYSTEM
  ibrav = 0, nat = 9, ntyp = 5
/
ATOMIC_SPECIES
Al 26.98 Al.upf
Ge 72.64 Ge.upf
Cu 63.55 Cu.upf
Er 167.26 Er.upf
Dy 162.50 Dy.upf
ATOMIC_POSITIONS crystal
Al 0.5000 0.2323 0.0003
Al 0.5000 0.7676 0.7676
Al 0.5000 0.0003 0.2323
Ge 0.5000 0.6661 0.3335
Ge 0.5000 0.3335 0.6661
Cu 0.0000 0.0006 0.0006
Er 0.0000 0.4029 0.4029
Dy 0.0000 0.9999 0.5969
Dy 0.0000 0.5969 0.9999
CELL_PARAMETERS angstrom
4.1598 0.0000 0.0000
0.0000 6.0521 3.4957
0.0000 -6.0521 3.4957
! space group	Amm2

=====

[5]
! PBE-GGA DyEr2Al3CuGe2, relaxed; values from VASP
&SYSTEM
  ibrav = 0, nat = 9, ntyp = 5
/
ATOMIC_SPECIES
Al 26.98 Al.upf
Ge 72.64 Ge.upf
Dy 162.50 Dy.upf
Cu 63.55 Cu.upf
Er 167.26 Er.upf
ATOMIC_POSITIONS crystal
Al 0.5000 0.2321 0.2321
Al 0.5000 0.7677 0.0004
Al 0.5000 0.0004 0.7677
Ge 0.5000 0.6669 0.3324
Ge 0.5000 0.3324 0.6669
Dy 0.0000 0.5967 0.5967
Cu 0.0000 0.0011 0.0011
Er 0.0000 0.9997 0.4028
Er 0.0000 0.4028 0.9997
CELL_PARAMETERS angstrom
-1.8387 -1.7280 3.3046
-2.4645 -5.1267 -4.0521
6.2190 -0.6814 3.1041
! space group	Amm2

=====

[6]
! PBE-GGA DyEr2Al3Cu2Ni, relaxed; values from VASP
&SYSTEM
  ibrav = 0, nat = 9, ntyp = 5
/
ATOMIC_SPECIES
Al 26.98 Al.upf
Er 167.26 Er.upf
Ni 58.69 Ni.upf
Cu 63.55 Cu.upf
Dy 162.50 Dy.upf
ATOMIC_POSITIONS crystal
Al 0.5000 0.2311 0.2311
Al 0.5000 0.0005 0.7688
Al 0.5000 0.7688 0.0005
Er 0.0000 0.9996 0.4106
Er 0.0000 0.4106 0.9996
Ni 0.0000 0.0022 0.0022
Cu 0.5000 0.3308 0.6676
Cu 0.5000 0.6676 0.3308
Dy 0.0000 0.5888 0.5888
CELL_PARAMETERS angstrom
3.9858 0.0000 0.0000
0.0000 6.0220 3.4745
0.0000 -6.0220 3.4745
! space group	Amm2

=====

[7]
! PBE-GGA Dy2ErAl3Cu2Ni, relaxed; values from VASP
&SYSTEM
  ibrav = 0, nat = 9, ntyp = 5
/
ATOMIC_SPECIES
Dy 162.50 Dy.upf
Al 26.98 Al.upf
Er 167.26 Er.upf
Cu 63.55 Cu.upf
Ni 58.69 Ni.upf
ATOMIC_POSITIONS crystal
Dy 0.0000 0.9994 0.5881
Dy 0.0000 0.5881 0.9994
Al 0.5000 0.2311 0.0015
Al 0.5000 0.7686 0.7686
Al 0.5000 0.0015 0.2311
Er 0.0000 0.4102 0.4102
Cu 0.5000 0.6637 0.3346
Cu 0.5000 0.3346 0.6637
Ni 0.0000 0.0028 0.0028
CELL_PARAMETERS angstrom
-3.0416 -0.8803 -2.4432
2.1784 -6.6172 -0.3278
-4.5273 1.9526 4.9326
! space group	Amm2

=====

[8]
! PBE-GGA DyEr2Al3Cu2Pd, relaxed; values from VASP
&SYSTEM
  ibrav = 0, nat = 9, ntyp = 5
/
ATOMIC_SPECIES
Cu 63.55 Cu.upf
Pd 106.42 Pd.upf
Al 26.98 Al.upf
Dy 162.50 Dy.upf
Er 167.26 Er.upf
ATOMIC_POSITIONS crystal
Cu 0.5000 0.3327 0.6684
Cu 0.5000 0.6684 0.3327
Pd 0.0000 0.9980 0.9980
Al 0.5000 0.2394 0.9996
Al 0.5000 0.7606 0.7606
Al 0.5000 0.9996 0.2394
Dy 0.0000 0.4195 0.4195
Er 0.0000 0.5812 0.0006
Er 0.0000 0.0006 0.5812
CELL_PARAMETERS angstrom
-1.6463 0.0934 3.7092
-4.4409 -5.1025 -1.8424
6.2207 -1.6144 2.8016
! space group	Amm2

=====

Electronic total energy readings, ordered: -4.4739, -4.4745, -4.9036, -4.8783, -4.8716, -4.7355, -4.7355, -4.7633 eV per atom
M_tot readings, ordered: 0.00, 0.00, 0.03, 0.00, 0.00, 0.00, 0.00, 0.02 Bohr magnetons per cell
Density readings, ordered: 7.56, 7.47, 7.57, 7.38, 7.44, 7.60, 7.49, 7.80 g cm⁻³